! YTi3Bi, relaxed, DFT GGA-PBEsol; values from VASP
! - Energy relative to the elements: 0.88 eV/atom
! - Raw total energy: -31.7 eV/cell
&SYSTEM
  ibrav = 0, nat = 5, ntyp = 3
/
ATOMIC_SPECIES
Ti 47.87 Ti.upf
Y 88.91 Y.upf
Bi 208.98 Bi.upf
CELL_PARAMETERS angstrom
-4.424 -2.261 1.193
2.432 -2.986 3.358
-0.789 3.475 3.661
ATOMIC_POSITIONS crystal
Ti 0.000 0.500 0.000
Ti 0.500 0.000 0.000
Ti 0.000 0.000 0.500
Y 0.500 0.500 0.500
Bi 0.000 0.000 0.000